# 1
A plane-wave DFT calculation with PBE was carried out for an optimized crystal structure of CaAc2As.

## Properties
E above lowest polymorph: 0.0 meV per atom
total DFT energy (no corrections): -4.32 eV per atom
calculated formation energy: -0.60 eV per atom
size of the total moment: 0.41 μB per cell

Cell lengths 10.786, 10.786, 10.786 Å; angles 22.91, 22.91, 22.91 degrees
Positions (direct):
Ca (0.000, 0.000, 0.000)
Ac (0.226, 0.226, 0.226)
Ac (0.774, 0.774, 0.774)
As (0.500, 0.500, 0.500)



# 2
A plane-wave DFT calculation with PBE was carried out for an optimized crystal structure of Ba2SnSe2Cl2.

## Properties
total DFT energy (no corrections): -4.24 eV per atom
size of the total moment: 0.00 μB per cell

Cell lengths 8.945, 8.945, 8.945 Å; angles 143.18, 143.18, 53.06 degrees
Positions (direct):
Ba (0.122, 0.122, 0.000)
Ba (0.878, 0.878, 0.000)
Sn (0.500, 0.500, 0.000)
Se (0.000, 0.500, 0.500)
Se (0.500, 0.000, 0.500)
Cl (0.309, 0.309, 0.000)
Cl (0.691, 0.691, 0.000)



# 3
A plane-wave DFT calculation with PBE was carried out for an optimized crystal structure of Rb3BeTe3.

## Properties
total DFT energy (no corrections): -3.02 eV per atom
size of the total moment: 4.03 μB per cell

Cell lengths 8.415, 13.879, 12.304 Å; angles 90.00, 126.12, 90.00 degrees
Positions (direct):
Rb (0.142, 0.205, 0.376)
Rb (0.142, 0.295, 0.876)
Rb (0.352, 0.560, 0.114)
Rb (0.352, 0.940, 0.614)
Rb (0.357, 0.621, 0.530)
Rb (0.357, 0.879, 0.030)
Rb (0.643, 0.121, 0.970)
Rb (0.643, 0.379, 0.470)
Rb (0.648, 0.060, 0.386)
Rb (0.648, 0.440, 0.886)
Rb (0.858, 0.705, 0.124)
Rb (0.858, 0.795, 0.624)
Be (0.056, 0.545, 0.636)
Be (0.056, 0.955, 0.136)
Be (0.944, 0.045, 0.864)
Be (0.944, 0.455, 0.364)
Te (0.087, 0.046, 0.736)
Te (0.087, 0.454, 0.236)
Te (0.163, 0.108, 0.097)
Te (0.163, 0.392, 0.597)
Te (0.318, 0.658, 0.818)
Te (0.318, 0.842, 0.318)
Te (0.682, 0.158, 0.682)
Te (0.682, 0.342, 0.182)
Te (0.837, 0.608, 0.403)
Te (0.837, 0.892, 0.903)
Te (0.913, 0.546, 0.764)
Te (0.913, 0.954, 0.264)



# 4
A plane-wave DFT calculation with PBE was carried out for an optimized crystal structure of AlHO.

## Properties
E above lowest polymorph: 21.6 meV per atom
total DFT energy (no corrections): -5.64 eV per atom
size of the total moment: 0.00 μB per cell

Cell lengths 5.045, 5.045, 5.045 Å; angles 146.33, 68.06, 122.78 degrees
Positions (direct):
Al (0.162, 0.000, 0.162)
Al (0.838, 0.000, 0.838)
H (0.214, 0.214, 0.000)
H (0.851, 0.351, 0.500)
O (0.409, 0.658, 0.752)
O (0.906, 0.658, 0.248)



# 5
A plane-wave DFT calculation with PBE was carried out for an optimized crystal structure of Sm6Hg2H.

## Properties
total DFT energy (no corrections): -3.83 eV per atom
size of the total moment: 0.00 μB per cell

Cell lengths 6.617, 6.893, 12.545 Å; angles 90.00, 119.35, 90.00 degrees
Positions (direct):
Sm (0.127, 0.007, 0.255)
Sm (0.127, 0.493, 0.755)
Sm (0.195, 0.188, 0.536)
Sm (0.195, 0.312, 0.036)
Sm (0.360, 0.689, 0.532)
Sm (0.360, 0.811, 0.032)
Sm (0.640, 0.189, 0.968)
Sm (0.640, 0.311, 0.468)
Sm (0.805, 0.688, 0.964)
Sm (0.805, 0.812, 0.464)
Sm (0.873, 0.507, 0.245)
Sm (0.873, 0.993, 0.745)
Hg (0.357, 0.609, 0.256)
Hg (0.357, 0.891, 0.756)
Hg (0.643, 0.109, 0.244)
Hg (0.643, 0.391, 0.744)
H (0.500, 0.000, 0.500)
H (0.500, 0.500, 0.000)



# 6
A plane-wave DFT calculation with PBE was carried out for an optimized crystal structure of LiSn3B.

## Properties
E above lowest polymorph: 567.3 meV per atom
total DFT energy (no corrections): -3.07 eV per atom
calculated formation energy: 1.05 eV per atom
size of the total moment: 0.00 μB per cell

Cell lengths 4.926, 4.926, 4.926 Å; angles 90.00, 90.00, 90.00 degrees
Positions (direct):
Li (0.000, 0.000, 0.000)
Sn (0.000, 0.000, 0.500)
Sn (0.000, 0.500, 0.000)
Sn (0.500, 0.000, 0.000)
B (0.500, 0.500, 0.500)